--- one ---
# AlGeSeN2

Crystalline AlGeSeN2 at its relaxed geometry (PBE, the Alexandria database).

Lattice parameters (Å, degrees): 3.7537 3.7537 5.5035 90.00 90.00 90.00
Closest atoms and distances in Å follow each position.
Positions (direct):
Ge: 0.5000 0.5000 0.5000  4 Se 2.65
Al: 0.0000 0.0000 0.0000  4 N 1.88
Se: 0.0000 0.0000 0.5000  4 Ge 2.65, 2 Al 2.75
N: 0.0000 0.5000 0.0000  2 Al 1.88
N: 0.5000 0.0000 0.0000  2 Al 1.88

***

--- two ---
# AlGeSeN2

Crystalline AlGeSeN2 at its relaxed geometry (PBE, the Alexandria database).

Lattice parameters (Å, degrees): 3.6720 3.6720 6.1713 90.00 90.00 90.00
Closest atoms and distances in Å follow each position.
Positions (direct):
Ge: 0.0000 0.0000 0.0000  4 N 1.84
Al: 0.5000 0.5000 0.5000  4 Se 2.60
Se: 0.0000 0.0000 0.5000  4 Al 2.60
N: 0.0000 0.5000 0.0000  2 Ge 1.84
N: 0.5000 0.0000 0.0000  2 Ge 1.84

***

The most stable arrangement is one, and the next structure is 0.246 eV/atom less stable.

***

--- one ---
# AlGeSe2N

Crystalline AlGeSe2N at its relaxed geometry (PBE, the Alexandria database).

Lattice parameters (Å, degrees): 5.1164 5.1164 3.6159 90.00 90.00 90.00
Closest atoms and distances in Å follow each position.
Positions (direct):
Ge: 0.5000 0.5000 0.5000  8 Se 3.13
Al: 0.0000 0.0000 0.0000  2 N 1.81
Se: 0.0000 0.5000 0.0000  2 Al 2.56
Se: 0.5000 0.0000 0.0000  2 Al 2.56
N: 0.0000 0.0000 0.5000  2 Al 1.81

***

--- two ---
# AlGeSe2N

Crystalline AlGeSe2N at its relaxed geometry (PBE, the Alexandria database).

Lattice parameters (Å, degrees): 5.1655 5.1655 3.5767 90.00 90.00 90.00
Closest atoms and distances in Å follow each position.
Positions (direct):
Ge: 0.0000 0.0000 0.0000  2 N 1.79
Al: 0.5000 0.5000 0.5000  8 Se 3.14
Se: 0.0000 0.5000 0.0000  2 Ge 2.58
Se: 0.5000 0.0000 0.0000  2 Ge 2.58
N: 0.0000 0.0000 0.5000  2 Ge 1.79

***

The most stable arrangement is one, and the next structure is 0.357 eV/atom less stable.

***

--- one ---
# AlGeTe2N

Crystalline AlGeTe2N at its relaxed geometry (PBE, the Alexandria database).

Lattice parameters (Å, degrees): 5.7400 5.7400 3.5147 90.00 90.00 90.00
Closest atoms and distances in Å follow each position.
Positions (direct):
Ge: 0.0000 0.0000 0.0000  2 N 1.76
Te: 0.0000 0.5000 0.0000  2 Ge 2.87
Te: 0.5000 0.0000 0.0000  2 Ge 2.87
Al: 0.5000 0.5000 0.5000  8 Te 3.37, 2 Al 3.51
N: 0.0000 0.0000 0.5000  2 Ge 1.76

***

--- two ---
# AlGeTe2N

Crystalline AlGeTe2N at its relaxed geometry (PBE, the Alexandria database).

Lattice parameters (Å, degrees): 5.7231 5.7231 3.4627 90.00 90.00 90.00
Closest atoms and distances in Å follow each position.
Positions (direct):
Ge: 0.5000 0.5000 0.5000  8 Te 3.34, 2 Ge 3.46
Te: 0.0000 0.5000 0.0000  2 Al 2.86
Te: 0.5000 0.0000 0.0000  2 Al 2.86
Al: 0.0000 0.0000 0.0000  2 N 1.73
N: 0.0000 0.0000 0.5000  2 Al 1.73

***

The most stable arrangement is two, and the next structure is 0.334 eV/atom less stable.

***

--- one ---
# NaAl3Ge3

Crystalline NaAl3Ge3 at its relaxed geometry (PBE, the Alexandria database).

Lattice parameters (Å, degrees): 7.1412 7.1412 7.1412 90.00 90.00 90.00
Closest atoms and distances in Å follow each position.
Positions (direct):
Na: 0.5000 0.5000 0.5000  12 Ge 3.99, 12 Al 3.99
Na: 0.0000 0.0000 0.0000  12 Ge 3.99, 12 Al 3.99
Ge: 0.2500 0.0000 0.5000  4 Al 2.52
Ge: 0.0000 0.5000 0.2500  4 Al 2.52
Ge: 0.5000 0.7500 0.0000  4 Al 2.52
Ge: 0.7500 0.0000 0.5000  4 Al 2.52
Ge: 0.0000 0.5000 0.7500  4 Al 2.52
Ge: 0.5000 0.2500 0.0000  4 Al 2.52
Al: 0.0000 0.2500 0.5000  4 Ge 2.52
Al: 0.0000 0.7500 0.5000  4 Ge 2.52
Al: 0.5000 0.0000 0.7500  4 Ge 2.52
Al: 0.7500 0.5000 0.0000  4 Ge 2.52
Al: 0.5000 0.0000 0.2500  4 Ge 2.52
Al: 0.2500 0.5000 0.0000  4 Ge 2.52

***

--- two ---
# NaAl3Ge3

Crystalline NaAl3Ge3 at its relaxed geometry (PBE, the Alexandria database).

Lattice parameters (Å, degrees): 6.9446 6.9446 9.0773 67.51 67.51 60.00
Closest atoms and distances in Å follow each position.
Positions (direct):
Na: 0.3337 0.3337 0.9990  6 Ge 3.16-3.17
Na: 0.6663 0.6663 0.0010  6 Ge 3.16-3.17
Al: 0.4723 0.8004 0.5917  4 Ge 2.59-2.68, 3 Al 2.75-2.77
Al: 0.8004 0.1355 0.5917  4 Ge 2.59-2.68, 3 Al 2.75-2.77
Al: 0.1355 0.4723 0.5917  4 Ge 2.59-2.68, 3 Al 2.75-2.77
Al: 0.8645 0.5277 0.4083  4 Ge 2.59-2.68, 3 Al 2.75-2.77
Al: 0.1996 0.8645 0.4083  4 Ge 2.59-2.68, 3 Al 2.75-2.77
Al: 0.5277 0.1996 0.4083  4 Ge 2.59-2.68, 3 Al 2.75-2.77
Ge: 0.2406 0.5831 0.2632  4 Al 2.59-2.68
Ge: 0.9131 0.2406 0.2632  4 Al 2.59-2.68
Ge: 0.5831 0.9131 0.2632  4 Al 2.59-2.68
Ge: 0.4169 0.0869 0.7368  4 Al 2.59-2.68
Ge: 0.0869 0.7594 0.7368  4 Al 2.59-2.68
Ge: 0.7594 0.4169 0.7368  4 Al 2.59-2.68

***

The most stable arrangement is two, and the next structure is 0.104 eV/atom less stable.

***

--- one ---
# Nb2Al2Ge

Crystalline Nb2Al2Ge at its relaxed geometry (PBE, the Alexandria database).

Lattice parameters (Å, degrees): 6.7065 6.7065 3.7279 90.00 90.00 90.00
Closest atoms and distances in Å follow each position.
Positions (direct):
Nb: 0.1735 0.6735 0.5000  6 Al 2.64-2.77
Nb: 0.6735 0.8265 0.5000  6 Al 2.64-2.77
Nb: 0.8265 0.3265 0.5000  6 Al 2.64-2.77
Nb: 0.3265 0.1735 0.5000  6 Al 2.64-2.77
Ge: 0.0000 0.0000 0.0000  4 Al 2.63
Ge: 0.5000 0.5000 0.0000  4 Al 2.63
Al: 0.3709 0.8709 0.0000  1 Al 2.45, 2 Ge 2.63, 2 Nb 2.64
Al: 0.8709 0.6291 0.0000  1 Al 2.45, 2 Ge 2.63, 2 Nb 2.64
Al: 0.6291 0.1291 0.0000  1 Al 2.45, 2 Ge 2.63, 2 Nb 2.64
Al: 0.1291 0.3709 0.0000  1 Al 2.45, 2 Ge 2.63, 2 Nb 2.64

***

--- two ---
# Nb2Al2Ge

Crystalline Nb2Al2Ge at its relaxed geometry (PBE, the Alexandria database).

Lattice parameters (Å, degrees): 6.7393 6.7393 4.0095 90.00 90.00 90.00
Closest atoms and distances in Å follow each position.
Positions (direct):
Nb: 0.3435 0.8435 0.0000  2 Ge 2.54, 2 Al 2.76
Nb: 0.8435 0.6565 0.0000  2 Ge 2.54, 2 Al 2.76
Nb: 0.6565 0.1565 0.0000  2 Ge 2.54, 2 Al 2.76
Nb: 0.1565 0.3435 0.0000  2 Ge 2.54, 2 Al 2.76
Ge: 0.0000 0.0000 0.0000  4 Nb 2.54
Ge: 0.5000 0.5000 0.0000  4 Nb 2.54
Al: 0.1445 0.6445 0.5000  1 Al 2.75, 6 Nb 2.76-2.85
Al: 0.6445 0.8555 0.5000  1 Al 2.75, 6 Nb 2.76-2.85
Al: 0.8555 0.3555 0.5000  1 Al 2.75, 6 Nb 2.76-2.85
Al: 0.3555 0.1445 0.5000  1 Al 2.75, 6 Nb 2.76-2.85

***

The most stable arrangement is two, and the next structure is 0.160 eV/atom less stable.